# Ti2ZnCdGa (PBE-GGA, relaxed)
# volume = 121 Å³/f.u.
# D(E_F) = 3.7 states/eV per cell
# ΔE_f = 1.106 eV per atom
# theoretical density = 4.7 g/cm³
data_Ti2ZnCdGa
_cell_length_a 5.055
_cell_length_b 5.055
_cell_length_c 4.720
_cell_angle_alpha 90.00
_cell_angle_beta 90.00
_cell_angle_gamma 90.00
_symmetry_space_group_name_H-M 'P 4/m m m'
_symmetry_Int_Tables_number 123
_symmetry_space_group_name_Hall '-P 4 2'
loop_
_atom_site_label
_atom_site_type_symbol
_atom_site_fract_x
_atom_site_fract_y
_atom_site_fract_z
Ti1 Ti 0.000 0.500 0.000
Zn1 Zn 0.000 0.000 0.500
Cd1 Cd 0.500 0.500 0.000
Ga1 Ga 0.500 0.500 0.500



# KSnIr2 (PBE-GGA, relaxed)
# volume = 90 Å³/f.u.
# D(E_F) = 15.9 states/eV per cell
# ΔE_f = 0.832 eV per atom
# theoretical density = 10.0 g/cm³
# energy relative to the lowest polymorph listed for this composition = 116 meV per atom
data_KSnIr2
_cell_length_a 7.830
_cell_length_b 7.830
_cell_length_c 5.855
_cell_angle_alpha 90.00
_cell_angle_beta 90.00
_cell_angle_gamma 90.00
_symmetry_space_group_name_H-M 'I -4 2 d'
_symmetry_Int_Tables_number 122
_symmetry_space_group_name_Hall 'I -4 2bw'
loop_
_atom_site_label
_atom_site_type_symbol
_atom_site_fract_x
_atom_site_fract_y
_atom_site_fract_z
K1 K 0.000 0.000 0.000
Sn1 Sn 0.000 0.000 0.500
Ir1 Ir 0.198 0.250 0.625



no.,magnetization (μB/atom),E_tot (Ha/atom)
1,0.0000,-0.1138
2,0.0000,-0.1791